Here is crystalline PrTmSb at its relaxed geometry from Alexandria via LeMat-Bulk. Energies are from PBE.

- Total energy: -4.92 eV per atom

Cell: 5.0960 5.0960 4.1278 Å, 90.00 90.00 120.00°
With the nearest neighbours (Å) after each atom.
Space group P3m1 (No. 156)
Symmetry-distinct sites (fractional):
1 Pr 0.0000 0.0000 0.0000 [1 per cell]  3 Sb 3.35, 6 Tm 3.55-3.64
2 Tm 0.3333 0.6667 0.5199 [1 per cell]  3 Sb 2.99
3 Sb 0.6667 0.3333 0.3889 [1 per cell]  3 Tm 2.99